A plane-wave DFT calculation with PBE was carried out for a relaxed structure of ZrScPaN3.

Summary:
Formation energy without anion corrections = -1.60 eV/atom
Symmetry = No. 11
Total magnetic moment = 0.00 Bohr magnetons per cell

Cell: 3.314 5.721 8.616 Å, 102.83 90.00 90.00°
Fractional coordinates of all 12 atoms:
N: 0.750 0.270 0.502
Zr: 0.250 0.132 0.638
Sc: 0.750 0.227 0.951
N: 0.750 0.051 0.158
Sc: 0.250 0.773 0.049
Pa: 0.250 0.351 0.303
N: 0.250 0.949 0.842
N: 0.250 0.730 0.498
Zr: 0.750 0.868 0.362
Pa: 0.750 0.649 0.697
N: 0.250 0.457 0.834
N: 0.750 0.543 0.166